Material: Th3OsAu
Method: DFT, PBE
State: optimized geometry

- Formation enthalpy at 0 K: -0.4135 eV/atom
- V: 27.55 Å³ per atom
- Final energy: -7.767 eV/atom
- Fermi-level density of states: 20.99 states/eV per cell
- E above lowest polymorph: 0.000 eV/atom

Lattice parameters (Å, degrees): 8.452 4.556 14.310 90.00 90.00 90.00
Space group Pnma (No. 62)
One atom of each set of equivalent atoms:
Th  0.005  0.250  0.111 (multiplicity 4)
Th  0.136  0.750  0.470 (multiplicity 4)
Th  0.173  0.250  0.718 (multiplicity 4)
Os  0.202  0.750  0.047 (multiplicity 4)
Au  0.117  0.250  0.318 (multiplicity 4)

Material: InGa2CoSn
Method: DFT, PBE
State: optimized geometry

- Formation enthalpy at 0 K: -0.0054 eV/atom
- V: 20.69 Å³ per atom
- Final energy: -3.986 eV/atom
- Fermi-level density of states: 2.35 states/eV per cell

Lattice parameters (Å, degrees): 4.569 4.569 4.954 90.00 90.00 90.00
Space group P4/mmm (No. 123)
One atom of each set of equivalent atoms:
In  0.000  0.000  0.000 (multiplicity 1)
Ga  0.000  0.500  0.500 (multiplicity 2)
Co  0.500  0.500  0.500 (multiplicity 1)
Sn  0.500  0.500  0.000 (multiplicity 1)

Material: AgH2O
Method: DFT, PBE
State: optimized geometry

- V: 7.91 Å³ per atom
- Final energy: -2.836 eV/atom
- Fermi-level density of states: 4.17 states/eV per cell
- E above lowest polymorph: 1.381 eV/atom

Lattice parameters (Å, degrees): 5.021 5.021 5.021 90.00 90.00 90.00
Space group Fm-3m (No. 225)
One atom of each set of equivalent atoms:
Ag  0.000  0.000  0.000 (multiplicity 4)
H  0.250  0.250  0.250 (multiplicity 8)
O  0.000  0.000  0.500 (multiplicity 4)

Material: La2NdGe3Ir4
Method: DFT, PBE
State: optimized geometry

- Formation enthalpy at 0 K: -0.7562 eV/atom
- V: 20.72 Å³ per atom
- Final energy: -7.148 eV/atom
- Fermi-level density of states: 4.87 states/eV per cell

Lattice parameters (Å, degrees): 4.258 4.258 11.429 90.00 90.00 90.00
Space group P-4m2 (No. 115)
One atom of each set of equivalent atoms:
La  0.000  0.500  0.230 (multiplicity 2)
Nd  0.000  0.000  0.500 (multiplicity 1)
Ge  0.000  0.500  0.882 (multiplicity 2)
Ge  0.500  0.500  0.500 (multiplicity 1)
Ir  0.000  0.000  0.000 (multiplicity 1)
Ir  0.000  0.500  0.666 (multiplicity 2)
Ir  0.500  0.500  0.000 (multiplicity 1)

Material: CeMgZr2
Method: DFT, PBE
State: optimized geometry

- Formation enthalpy at 0 K: 0.0933 eV/atom
- V: 23.85 Å³ per atom
- Final energy: -6.063 eV/atom
- Fermi-level density of states: 4.01 states/eV per cell
- E above lowest polymorph: 0.031 eV/atom

Lattice parameters (Å, degrees): 4.648 4.648 4.416 90.00 90.00 90.00
Space group P4/mmm (No. 123)
One atom of each set of equivalent atoms:
Ce  0.000  0.000  0.000 (multiplicity 1)
Mg  0.500  0.500  0.000 (multiplicity 1)
Zr  0.000  0.500  0.500 (multiplicity 2)

Material: ErTm5Sc
Method: DFT, PBE
State: optimized geometry

- Formation enthalpy at 0 K: 0.9767 eV/atom
- V: 37.91 Å³ per atom
- Final energy: -3.774 eV/atom
- Fermi-level density of states: 19.00 states/eV per cell
- E above lowest polymorph: 0.911 eV/atom

Lattice parameters (Å, degrees): 7.816 11.386 5.964 90.00 90.00 90.00
Space group Imm2 (No. 44)
One atom of each set of equivalent atoms:
Er  0.000  0.000  0.000 (multiplicity 2)
Tm  0.000  0.253  0.732 (multiplicity 4)
Tm  0.000  0.500  0.285 (multiplicity 2)
Tm  0.183  0.000  0.491 (multiplicity 4)
Sc  0.000  0.500  0.751 (multiplicity 2)